[1]
{"formula": "Y6Cd5Ir", "functional": "GGA-PBE", "state": "optimized geometry", "sg": "C2/m", "m_tot_mub_per_cell": 0.00, "e_form_ev_per_atom": -0.452, "lattice_angstrom": [[8.1409, -3.7904, 0.0000], [8.1409, 3.7904, 0.0000], [-1.6267, 0.0000, 4.8907]], "species": ["Y", "Y", "Y", "Y", "Y", "Y", "Cd", "Cd", "Cd", "Cd", "Cd", "Ir"], "frac_coords": [[0.0768, 0.6125, 0.3448], [0.2226, 0.7774, 0.0000], [0.3875, 0.9232, 0.6552], [0.6125, 0.0768, 0.3448], [0.7774, 0.2226, 0.0000], [0.9232, 0.3875, 0.6552], [0.1859, 0.1859, 0.1857], [0.3339, 0.3339, 0.8341], [0.5000, 0.5000, 0.5000], [0.6661, 0.6661, 0.1659], [0.8141, 0.8141, 0.8143], [0.0000, 0.0000, 0.5000]]}

[2]
{"formula": "Fe3SnI9", "functional": "GGA-PBE", "state": "optimized geometry", "sg": "Cc", "m_tot_mub_per_cell": 26.00, "total_energy_ev_per_atom": -3.5193, "lattice_angstrom": [[10.1764, -5.1571, 0.0000], [10.1764, 5.1571, 0.0000], [-9.4294, 0.0000, 11.2268]], "species": ["Fe", "Fe", "Fe", "Fe", "Fe", "Fe", "Sn", "Sn", "I", "I", "I", "I", "I", "I", "I", "I", "I", "I", "I", "I", "I", "I", "I", "I", "I", "I"], "frac_coords": [[0.0819, 0.9181, 0.5000], [0.2886, 0.4550, 0.5400], [0.4550, 0.2886, 0.0400], [0.6747, 0.8984, 0.1588], [0.8984, 0.6747, 0.6588], [0.9181, 0.0819, 0.0000], [0.4156, 0.8674, 0.3288], [0.8674, 0.4156, 0.8288], [0.0396, 0.0534, 0.2002], [0.0534, 0.0396, 0.7002], [0.0710, 0.8146, 0.8647], [0.0901, 0.4186, 0.5515], [0.1268, 0.6242, 0.4043], [0.1870, 0.4171, 0.8991], [0.3073, 0.9495, 0.5272], [0.4171, 0.1870, 0.3991], [0.4186, 0.0901, 0.0515], [0.4848, 0.5340, 0.7493], [0.5340, 0.4848, 0.2493], [0.5918, 0.7328, 0.1598], [0.6242, 0.1268, 0.9043], [0.7282, 0.8607, 0.5424], [0.7328, 0.5918, 0.6598], [0.8146, 0.0710, 0.3647], [0.8607, 0.7282, 0.0424], [0.9495, 0.3073, 0.0272]]}

[3]
{"formula": "AcTb6Nd3", "functional": "GGA-PBE", "state": "optimized geometry", "sg": "C2/m", "m_tot_mub_per_cell": 0.00, "e_form_ev_per_atom": 0.231, "polymorph_energy_ev_per_fu": 0.97, "lattice_angstrom": [[5.8027, -3.3227, 0.0000], [5.8027, 3.3227, 0.0000], [-4.1186, 0.0000, 9.0705]], "species": ["Ac", "Tb", "Tb", "Tb", "Tb", "Tb", "Tb", "Nd", "Nd", "Nd"], "frac_coords": [[0.0000, 0.0000, 0.0000], [0.0672, 0.5589, 0.6839], [0.3637, 0.3637, 0.0831], [0.4411, 0.9328, 0.3161], [0.5589, 0.0672, 0.6839], [0.6363, 0.6363, 0.9169], [0.9328, 0.4411, 0.3161], [0.0683, 0.0683, 0.6932], [0.5000, 0.5000, 0.5000], [0.9317, 0.9317, 0.3068]]}

[4]
{"formula": "LuZnGaPd", "functional": "GGA-PBE", "state": "optimized geometry", "sg": "F-43m", "m_tot_mub_per_cell": 0.00, "e_form_ev_per_atom": -0.581, "lattice_angstrom": [[0.0000, 3.2705, 3.2705], [3.2705, 0.0000, 3.2705], [3.2705, 3.2705, 0.0000]], "species": ["Lu", "Zn", "Ga", "Pd"], "frac_coords": [[0.0000, 0.0000, 0.0000], [0.7500, 0.7500, 0.7500], [0.5000, 0.5000, 0.5000], [0.2500, 0.2500, 0.2500]]}

[5]
{"formula": "CePrBiAu", "functional": "GGA-PBE", "state": "optimized geometry", "sg": "F-43m", "m_tot_mub_per_cell": 2.48, "e_form_ev_per_atom": -0.633, "lattice_angstrom": [[0.0000, 3.8650, 3.8650], [3.8650, 0.0000, 3.8650], [3.8650, 3.8650, 0.0000]], "species": ["Ce", "Pr", "Bi", "Au"], "frac_coords": [[0.0000, 0.0000, 0.0000], [0.5000, 0.5000, 0.5000], [0.2500, 0.2500, 0.2500], [0.7500, 0.7500, 0.7500]]}

[6]
{"formula": "Ti7PdC2", "functional": "GGA-PBE", "state": "optimized geometry", "sg": "Cmmm", "m_tot_mub_per_cell": 0.00, "e_form_ev_per_atom": -0.180, "lattice_angstrom": [[3.4376, -5.4915, 0.0000], [3.4376, 5.4915, 0.0000], [0.0000, 0.0000, 4.0687]], "species": ["Ti", "Ti", "Ti", "Ti", "Ti", "Ti", "Ti", "Pd", "C", "C"], "frac_coords": [[0.0000, 0.0000, 0.0000], [0.1705, 0.4365, 0.0000], [0.2177, 0.7823, 0.5000], [0.4365, 0.1705, 0.0000], [0.5635, 0.8295, 0.0000], [0.7823, 0.2177, 0.5000], [0.8295, 0.5635, 0.0000], [0.5000, 0.5000, 0.5000], [0.2023, 0.7977, 0.0000], [0.7977, 0.2023, 0.0000]]}

[7]
{"formula": "Nd3CdTe6", "functional": "GGA-PBE", "state": "optimized geometry", "sg": "Cmc2_1", "m_tot_mub_per_cell": 0.00, "total_energy_ev_per_atom": -4.5151, "lattice_angstrom": [[6.2075, -7.3551, 0.0000], [6.2075, 7.3551, 0.0000], [0.0000, 0.0000, 7.6842]], "species": ["Nd", "Nd", "Nd", "Nd", "Nd", "Nd", "Cd", "Cd", "Te", "Te", "Te", "Te", "Te", "Te", "Te", "Te", "Te", "Te", "Te", "Te"], "frac_coords": [[0.0977, 0.9023, 0.5000], [0.2270, 0.4178, 0.6097], [0.4178, 0.2270, 0.1097], [0.5822, 0.7730, 0.6097], [0.7730, 0.5822, 0.1097], [0.9023, 0.0977, 0.0000], [0.2872, 0.7128, 0.1357], [0.7128, 0.2872, 0.6357], [0.0477, 0.5909, 0.3389], [0.1223, 0.2044, 0.3040], [0.2044, 0.1223, 0.8040], [0.2715, 0.7285, 0.7701], [0.4091, 0.9523, 0.3389], [0.4640, 0.5360, 0.3057], [0.5360, 0.4640, 0.8057], [0.5909, 0.0477, 0.8389], [0.7285, 0.2715, 0.2701], [0.7956, 0.8777, 0.3040], [0.8777, 0.7956, 0.8040], [0.9523, 0.4091, 0.8389]]}

[8]
{"formula": "TmGa4RuRh2", "functional": "GGA-PBE", "state": "optimized geometry", "sg": "R-3m", "m_tot_mub_per_cell": 0.00, "e_form_ev_per_atom": -0.620, "lattice_angstrom": [[2.1154, 1.2213, 8.4046], [-2.1154, 1.2213, 8.4046], [0.0000, -2.4427, 8.4046]], "species": ["Tm", "Ga", "Ga", "Ga", "Ga", "Ru", "Rh", "Rh"], "frac_coords": [[0.0000, 0.0000, 0.0000], [0.1319, 0.1319, 0.1319], [0.3979, 0.3979, 0.3979], [0.6021, 0.6021, 0.6021], [0.8681, 0.8681, 0.8681], [0.5000, 0.5000, 0.5000], [0.2414, 0.2414, 0.2414], [0.7586, 0.7586, 0.7586]]}

Copy entry 2 word for word.
{"formula": "Fe3SnI9", "functional": "GGA-PBE", "state": "optimized geometry", "sg": "Cc", "m_tot_mub_per_cell": 26.00, "total_energy_ev_per_atom": -3.5193, "lattice_angstrom": [[10.1764, -5.1571, 0.0000], [10.1764, 5.1571, 0.0000], [-9.4294, 0.0000, 11.2268]], "species": ["Fe", "Fe", "Fe", "Fe", "Fe", "Fe", "Sn", "Sn", "I", "I", "I", "I", "I", "I", "I", "I", "I", "I", "I", "I", "I", "I", "I", "I", "I", "I"], "frac_coords": [[0.0819, 0.9181, 0.5000], [0.2886, 0.4550, 0.5400], [0.4550, 0.2886, 0.0400], [0.6747, 0.8984, 0.1588], [0.8984, 0.6747, 0.6588], [0.9181, 0.0819, 0.0000], [0.4156, 0.8674, 0.3288], [0.8674, 0.4156, 0.8288], [0.0396, 0.0534, 0.2002], [0.0534, 0.0396, 0.7002], [0.0710, 0.8146, 0.8647], [0.0901, 0.4186, 0.5515], [0.1268, 0.6242, 0.4043], [0.1870, 0.4171, 0.8991], [0.3073, 0.9495, 0.5272], [0.4171, 0.1870, 0.3991], [0.4186, 0.0901, 0.0515], [0.4848, 0.5340, 0.7493], [0.5340, 0.4848, 0.2493], [0.5918, 0.7328, 0.1598], [0.6242, 0.1268, 0.9043], [0.7282, 0.8607, 0.5424], [0.7328, 0.5918, 0.6598], [0.8146, 0.0710, 0.3647], [0.8607, 0.7282, 0.0424], [0.9495, 0.3073, 0.0272]]}